[1]
MgZnO: relaxed, PBE-GGA.

POSCAR file:
```
MgZnO
1.0
3.1832 0.0251 -0.0044
-1.5547 2.7561 0.0044
-1.5951 -0.9316 5.0906
Zn O Mg
1 1 1
Direct
0.9585 0.7978 0.5566
0.7026 0.6647 0.1676
0.9467 0.2833 0.0264
```

Calculated values
* ΔE to the lowest computed polymorph: 12.6 meV per atom
* total magnetic moment: 0.00 μB/cell
* E_form (uncorrected): -1.4160 eV/atom
* space-group type: P1

=====

[2]
BeNb4In2: relaxed, PBE-GGA.

POSCAR file:
```
BeNb4In2
1.0
-4.1247 -0.9944 0.8454
-0.7278 -0.5737 -4.2259
-0.5673 -7.9411 -1.0387
Nb Be In
4 1 2
Direct
0.5000 0.0000 0.0000
0.1563 0.1563 0.6874
0.0000 0.5000 0.0000
0.8437 0.8437 0.3126
0.0000 0.0000 0.0000
0.6450 0.6450 0.7100
0.3550 0.3550 0.2900
```

Calculated values
* E: -6.678 eV/atom
* total magnetic moment: 0.00 μB/cell
* space-group type: I4/mmm

=====

[3]
CaYSe: relaxed, PBE-GGA.

POSCAR file:
```
CaYSe
1.0
-1.3350 6.8014 0.2311
-1.2541 4.7313 4.9128
3.8019 -5.2800 -2.4003
Y Se Ca
1 1 1
Direct
0.6996 0.6996 0.0000
0.3249 0.3249 0.0000
0.9755 0.9755 0.0000
```

Calculated values
* ΔE to the lowest computed polymorph: 121.9 meV per atom
* total magnetic moment: 0.00 μB/cell
* E_form (uncorrected): -1.0041 eV/atom
* space-group type: I4mm

=====

[4]
Ce2PrI6: relaxed, PBE-GGA.

POSCAR file:
```
Ce2PrI6
1.0
-7.6505 0.1987 1.5439
-2.6965 -2.8591 6.7459
-2.6344 5.8300 5.9357
I Pr Ce
6 1 2
Direct
0.9359 0.2642 0.1959
0.4274 0.1016 0.6943
0.7768 0.4274 0.6943
0.2642 0.6040 0.1959
0.1016 0.7768 0.6943
0.6040 0.9359 0.1959
0.3538 0.3538 0.9385
0.5178 0.5178 0.4466
0.6843 0.6843 0.9472
```

Calculated values
* ΔE to the lowest computed polymorph: 53.4 meV per atom
* total magnetic moment: 3.16 μB/cell
* E_form (uncorrected): -1.2015 eV/atom
* space-group type: R3

=====

[5]
TaF: relaxed, PBE-GGA.

POSCAR file:
```
TaF
1.0
-2.9124 5.9785 3.1563
-8.6154 -3.5332 -1.2573
0.3492 -2.9643 5.9370
Ta F
16 16
Direct
0.5740 0.7500 0.7500
0.6760 0.0000 0.5000
0.9260 0.7500 0.7500
0.4260 0.7500 0.2500
0.3240 0.5000 0.0000
0.3240 0.0000 0.5000
0.6760 0.5000 0.0000
0.1760 0.0000 0.0000
0.8240 0.0000 0.0000
0.1760 0.5000 0.5000
0.0740 0.7500 0.2500
0.9260 0.2500 0.2500
0.4260 0.2500 0.7500
0.0740 0.2500 0.7500
0.5740 0.2500 0.2500
0.8240 0.5000 0.5000
0.7500 0.6242 0.2500
0.2500 0.6242 0.7500
0.0000 0.6258 0.0000
0.5000 0.8742 0.0000
0.0000 0.1258 0.5000
0.2500 0.1242 0.2500
0.7500 0.8758 0.2500
0.5000 0.6258 0.5000
0.2500 0.8758 0.7500
0.0000 0.8742 0.5000
0.2500 0.3758 0.2500
0.7500 0.1242 0.7500
0.7500 0.3758 0.7500
0.5000 0.3742 0.5000
0.0000 0.3742 0.0000
0.5000 0.1258 0.0000
```

Calculated values
* ΔE to the lowest computed polymorph: 342.4 meV per atom
* total magnetic moment: 0.00 μB/cell
* E_form (uncorrected): -1.3196 eV/atom
* space-group type: Fddd

=====

[6]
LaPu2Ga2Ge2: relaxed, PBE-GGA.

POSCAR file:
```
LaPu2Ga2Ge2
1.0
-1.9134 0.5018 -4.0742
-1.4001 -3.6368 -2.3077
-9.2000 -0.3921 1.7552
Ga Pu Ge La
2 2 2 1
Direct
0.5803 0.5803 0.2591
0.4197 0.4197 0.7409
0.8585 0.8585 0.4244
0.1415 0.1415 0.5756
0.2627 0.2627 0.2120
0.7373 0.7373 0.7880
0.0000 0.0000 0.0000
```

Calculated values
* E: -7.315 eV/atom
* total magnetic moment: 11.81 μB/cell
* space-group type: R-3m